Arrangement A

VASP calculation (PBE) on a relaxed Tl3Ir4 crystal.

Calculated values
Total magnetic moment in μB/cell: 0.0

Lattice parameters (Å, degrees): 13.504 13.504 13.504 165.43 165.43 20.66
Fractional positions:
Ir1 0.115 0.115 0.000
Ir2 0.885 0.885 0.000
Ir3 0.415 0.415 0.000
Ir4 0.585 0.585 0.000
Tl1 0.697 0.697 0.000
Tl2 0.000 0.000 0.000
Tl3 0.303 0.303 0.000

Arrangement B

VASP calculation (PBE) on a relaxed Tl3Ir4 crystal.

Calculated values
Total magnetic moment in μB/cell: 0.0

Lattice parameters (Å, degrees): 5.901 5.901 4.673 90.00 90.00 120.00
Fractional positions:
Ir1 0.667 0.333 0.500
Ir2 0.000 0.000 0.251
Ir3 0.000 0.000 0.749
Ir4 0.333 0.667 0.500
Tl1 0.500 0.500 0.000
Tl2 0.000 0.500 0.000
Tl3 0.500 0.000 0.000

Stability check: which of them is most stable? arrangement A.

Arrangement A

VASP calculation (PBE) on a relaxed Tl3Ir crystal.

Calculated values
Total magnetic moment in μB/cell: 0.0

Lattice parameters (Å, degrees): 3.330 3.330 10.341 90.00 90.00 120.00
Fractional positions:
Ir1 0.000 0.000 0.000
Tl1 0.667 0.333 0.206
Tl2 0.667 0.333 0.794
Tl3 0.000 0.000 0.500

Arrangement B

VASP calculation (PBE) on a relaxed Tl3Ir crystal.

Calculated values
Total magnetic moment in μB/cell: 0.0

Lattice parameters (Å, degrees): 7.854 7.854 7.876 90.00 90.00 120.00
Fractional positions:
Ir1 0.000 0.000 0.000
Ir2 0.333 0.667 0.250
Ir3 0.000 0.000 0.500
Ir4 0.667 0.333 0.750
Tl1 0.500 0.000 0.000
Tl2 0.500 0.500 0.000
Tl3 0.000 0.500 0.500
Tl4 0.715 0.858 0.750
Tl5 0.000 0.500 0.000
Tl6 0.858 0.715 0.250
Tl7 0.142 0.285 0.750
Tl8 0.500 0.000 0.500
Tl9 0.858 0.142 0.250
Tl10 0.285 0.142 0.250
Tl11 0.142 0.858 0.750
Tl12 0.500 0.500 0.500

Stability check: which of them is most stable? arrangement A.

Arrangement A

VASP calculation (PBE) on a relaxed TlIr2 crystal.

Calculated values
Total magnetic moment in μB/cell: 0.0

Lattice parameters (Å, degrees): 6.107 6.107 6.107 153.37 143.33 45.89
Fractional positions:
Tl1 0.000 0.000 0.000
Ir1 0.291 0.291 0.000
Ir2 0.709 0.709 0.000

Arrangement B

VASP calculation (PBE) on a relaxed TlIr2 crystal.

Calculated values
Total magnetic moment in μB/cell: 0.0

Lattice parameters (Å, degrees): 4.645 4.645 5.540 90.00 90.00 120.00
Fractional positions:
Ir1 0.333 0.667 0.250
Ir2 0.667 0.333 0.750
Ir3 0.000 0.000 0.000
Ir4 0.000 0.000 0.500
Tl1 0.333 0.667 0.750
Tl2 0.667 0.333 0.250

Stability check: which of them is most stable? arrangement A.